Arrangement A

First-principles (meta-GGA SCAN) data for a crystal of LiTlBr2 relaxed with PBEsol, as listed in the Alexandria database.

Summary:
- spin magnetization (μB/cell) = 0.000
- SG = Immm
- crystal system = orthorhombic

Cell: 5.682 5.682 5.682 Å, 138.27 110.51 84.45°
Fractional positions:
Li  0.000  0.000  0.000
Tl  0.500  0.500  0.000
Br  0.201  0.701  0.500
Br  0.799  0.299  0.500



Arrangement B

First-principles (meta-GGA SCAN) data for a crystal of LiTlBr2 relaxed with PBEsol, as listed in the Alexandria database.

Summary:
- spin magnetization (μB/cell) = 0.000
- SG = I-42d
- crystal system = tetragonal

Cell: 6.659 6.659 6.659 Å, 111.32 111.32 105.83°
Fractional positions:
Li  0.000  0.000  0.000
Li  0.750  0.250  0.500
Tl  0.250  0.750  0.500
Tl  0.500  0.500  0.000
Br  0.051  0.125  0.426
Br  0.375  0.949  0.074
Br  0.699  0.625  0.574
Br  0.875  0.301  0.926



What are the relative energies? In kJ/mol of atoms: arrangement A 10.2; arrangement B 0.0.



Arrangement A

First-principles (meta-GGA SCAN) data for a crystal of LiTl2Br relaxed with PBEsol, as listed in the Alexandria database.

Summary:
- spin magnetization (μB/cell) = 0.000
- SG = Fm-3m
- crystal system = cubic

Cell: 5.431 5.431 5.431 Å, 60.00 60.00 60.00°
Fractional positions:
Li  0.000  0.000  0.000
Tl  0.250  0.250  0.250
Tl  0.750  0.750  0.750
Br  0.500  0.500  0.500



Arrangement B

First-principles (meta-GGA SCAN) data for a crystal of LiTl2Br relaxed with PBEsol, as listed in the Alexandria database.

Summary:
- spin magnetization (μB/cell) = 0.000
- SG = P4/mmm
- crystal system = tetragonal

Cell: 5.422 5.422 3.587 Å, 90.00 90.00 90.00°
Fractional positions:
Li  0.000  0.000  0.000
Tl  0.000  0.500  0.500
Tl  0.500  0.000  0.500
Br  0.500  0.500  0.000



What are the relative energies? In kJ/mol of atoms: arrangement A 21.6; arrangement B 0.0.



Arrangement A

First-principles (meta-GGA SCAN) data for a crystal of LiW2Br relaxed with PBEsol, as listed in the Alexandria database.

Summary:
- spin magnetization (μB/cell) = 0.000
- SG = Fm-3m
- crystal system = cubic

Cell: 4.346 4.346 4.346 Å, 60.00 60.00 60.00°
Fractional positions:
Li  0.000  0.000  0.000
W  0.250  0.250  0.250
W  0.750  0.750  0.750
Br  0.500  0.500  0.500



Arrangement B

First-principles (meta-GGA SCAN) data for a crystal of LiW2Br relaxed with PBEsol, as listed in the Alexandria database.

Summary:
- spin magnetization (μB/cell) = 0.000
- SG = Amm2
- crystal system = orthorhombic

Cell: 3.253 6.688 6.688 Å, 28.44 90.00 90.00°
Fractional positions:
Li  0.000  0.000  0.000
W  0.000  0.776  0.776
W  0.500  0.364  0.364
Br  0.500  0.580  0.580



Arrangement C

First-principles (meta-GGA SCAN) data for a crystal of LiW2Br relaxed with PBEsol, as listed in the Alexandria database.

Summary:
- spin magnetization (μB/cell) = 0.001
- SG = Pmmm
- crystal system = orthorhombic

Cell: 3.051 4.274 5.152 Å, 90.00 90.00 90.00°
Fractional positions:
Li  0.000  0.000  0.000
W  0.000  0.500  0.500
W  0.500  0.000  0.500
Br  0.500  0.500  0.000



Arrangement D

First-principles (meta-GGA SCAN) data for a crystal of LiW2Br relaxed with PBEsol, as listed in the Alexandria database.

Summary:
- spin magnetization (μB/cell) = 0.000
- SG = I4/mmm
- crystal system = tetragonal

Cell: 5.874 5.874 5.874 Å, 144.06 144.06 51.73°
Fractional positions:
Li  0.000  0.000  0.000
W  0.250  0.750  0.500
W  0.750  0.250  0.500
Br  0.500  0.500  0.000



What are the relative energies? In kJ/mol of atoms: arrangement A 138.3; arrangement B 0.0; arrangement C 66.2; arrangement D 72.4.



Arrangement A

First-principles (meta-GGA SCAN) data for a crystal of LiWBr2 relaxed with PBEsol, as listed in the Alexandria database.

Summary:
- spin magnetization (μB/cell) = 0.007
- SG = Cmmm
- crystal system = orthorhombic

Cell: 3.331 3.331 8.035 Å, 90.00 90.00 123.93°
Fractional positions:
Li  0.000  0.000  0.000
W  0.000  0.000  0.500
Br  0.500  0.500  0.243
Br  0.500  0.500  0.757



Arrangement B

First-principles (meta-GGA SCAN) data for a crystal of LiWBr2 relaxed with PBEsol, as listed in the Alexandria database.

Summary:
- spin magnetization (μB/cell) = 1.003
- SG = Fm-3m
- crystal system = cubic

Cell: 4.534 4.534 4.534 Å, 60.00 60.00 60.00°
Fractional positions:
Li  0.000  0.000  0.000
W  0.500  0.500  0.500
Br  0.250  0.250  0.250
Br  0.750  0.750  0.750



What are the relative energies? In kJ/mol of atoms: arrangement A 0.0; arrangement B 25.6.



Arrangement A

First-principles (meta-GGA SCAN) data for a crystal of Li2WBr relaxed with PBEsol, as listed in the Alexandria database.

Summary:
- spin magnetization (μB/cell) = 0.000
- SG = P4/mmm
- crystal system = tetragonal

Cell: 4.655 4.655 2.920 Å, 90.00 90.00 90.00°
Fractional positions:
Li  0.000  0.500  0.000
Li  0.500  0.000  0.000
W  0.000  0.000  0.500
Br  0.500  0.500  0.500



Arrangement B

First-principles (meta-GGA SCAN) data for a crystal of Li2WBr relaxed with PBEsol, as listed in the Alexandria database.

Summary:
- spin magnetization (μB/cell) = 4.063
- SG = Fm-3m
- crystal system = cubic

Cell: 4.643 4.643 4.643 Å, 60.00 60.00 60.00°
Fractional positions:
Li  0.250  0.250  0.250
Li  0.750  0.750  0.750
W  0.000  0.000  0.000
Br  0.500  0.500  0.500



What are the relative energies? In kJ/mol of atoms: arrangement A 0.0; arrangement B 38.0.



Arrangement A

First-principles (meta-GGA SCAN) data for a crystal of Li2WBr relaxed with PBEsol, as listed in the Alexandria database.

Summary:
- spin magnetization (μB/cell) = 0.000
- SG = Cmmm
- crystal system = orthorhombic

Cell: 2.876 2.876 8.711 Å, 90.00 90.00 114.67°
Fractional positions:
Li  0.000  0.000  0.226
Li  0.000  0.000  0.774
W  0.500  0.500  0.500
Br  0.500  0.500  0.000



Arrangement B

First-principles (meta-GGA SCAN) data for a crystal of Li2WBr relaxed with PBEsol, as listed in the Alexandria database.

Summary:
- spin magnetization (μB/cell) = 0.000
- SG = P4/mmm
- crystal system = tetragonal

Cell: 2.843 2.843 8.131 Å, 90.00 90.00 90.00°
Fractional positions:
Li  0.000  0.000  0.223
Li  0.000  0.000  0.777
W  0.500  0.500  0.500
Br  0.500  0.500  0.000



What are the relative energies? In kJ/mol of atoms: arrangement A 0.0; arrangement B 9.3.



Arrangement A

First-principles (meta-GGA SCAN) data for a crystal of LiY2Br relaxed with PBEsol, as listed in the Alexandria database.

Summary:
- spin magnetization (μB/cell) = 0.001
- SG = Imm2
- crystal system = orthorhombic

Cell: 6.292 6.292 6.292 Å, 148.49 129.84 60.45°
Fractional positions:
Li  0.000  0.000  0.000
Y  0.432  0.432  0.000
Y  0.706  0.206  0.500
Br  0.204  0.704  0.500



Arrangement B

First-principles (meta-GGA SCAN) data for a crystal of LiY2Br relaxed with PBEsol, as listed in the Alexandria database.

Summary:
- spin magnetization (μB/cell) = 2.522
- SG = F-43m
- crystal system = cubic

Cell: 5.317 5.317 5.317 Å, 60.00 60.00 60.00°
Fractional positions:
Li  0.000  0.000  0.000
Y  0.500  0.500  0.500
Y  0.750  0.750  0.750
Br  0.250  0.250  0.250



Arrangement C

First-principles (meta-GGA SCAN) data for a crystal of LiY2Br relaxed with PBEsol, as listed in the Alexandria database.

Summary:
- spin magnetization (μB/cell) = 0.327
- SG = Cmmm
- crystal system = orthorhombic

Cell: 3.430 3.430 9.811 Å, 90.00 90.00 114.45°
Fractional positions:
Li  0.000  0.000  0.000
Y  0.500  0.500  0.262
Y  0.500  0.500  0.738
Br  0.000  0.000  0.500



Arrangement D

First-principles (meta-GGA SCAN) data for a crystal of LiY2Br relaxed with PBEsol, as listed in the Alexandria database.

Summary:
- spin magnetization (μB/cell) = 0.000
- SG = Amm2
- crystal system = orthorhombic

Cell: 3.990 6.209 6.209 Å, 37.83 90.00 90.00°
Fractional positions:
Li  0.000  0.000  0.000
Y  0.000  0.721  0.721
Y  0.500  0.403  0.403
Br  0.500  0.140  0.140



What are the relative energies? In kJ/mol of atoms: arrangement A 11.7; arrangement B 72.6; arrangement C 8.6; arrangement D 0.0.



Arrangement A

First-principles (meta-GGA SCAN) data for a crystal of LiZnBr2 relaxed with PBEsol, as listed in the Alexandria database.

Summary:
- spin magnetization (μB/cell) = 0.000
- SG = Cmmm
- crystal system = orthorhombic

Cell: 3.846 3.846 7.541 Å, 90.00 90.00 121.34°
Fractional positions:
Li  0.000  0.000  0.000
Zn  0.000  0.000  0.500
Br  0.500  0.500  0.233
Br  0.500  0.500  0.767



Arrangement B

First-principles (meta-GGA SCAN) data for a crystal of LiZnBr2 relaxed with PBEsol, as listed in the Alexandria database.

Summary:
- spin magnetization (μB/cell) = 0.000
- SG = P4/mmm
- crystal system = tetragonal

Cell: 4.898 4.898 3.474 Å, 90.00 90.00 90.00°
Fractional positions:
Li  0.000  0.000  0.000
Zn  0.500  0.500  0.000
Br  0.000  0.500  0.500
Br  0.500  0.000  0.500



What are the relative energies? In kJ/mol of atoms: arrangement A 0.0; arrangement B 5.6.